(1)
! PBE TaTl2Cd, optimized geometry; values from VASP
&SYSTEM
  ibrav = 0, nat = 8, ntyp = 3
/
ATOMIC_SPECIES
Tl 204.38 Tl.upf
Cd 112.41 Cd.upf
Ta 180.95 Ta.upf
ATOMIC_POSITIONS crystal
Tl 0.643 0.125 0.250
Tl 0.107 0.625 0.250
Tl 0.375 0.357 0.750
Tl 0.875 0.893 0.750
Cd 0.500 0.500 0.000
Cd 0.250 0.750 0.500
Ta 0.000 0.000 0.000
Ta 0.750 0.250 0.500
CELL_PARAMETERS angstrom
4.387 0.000 0.000
0.000 4.387 0.000
2.194 2.194 10.317
! calculated formation energy	801	meV per atom
! excess energy over the best structure of this formula in the dataset	410	meV/atom
! total moment	0.16	μB per atom

=====

(2)
! PBE PbSe3I, optimized geometry; values from VASP
&SYSTEM
  ibrav = 0, nat = 5, ntyp = 3
/
ATOMIC_SPECIES
Pb 207.20 Pb.upf
I 126.90 I.upf
Se 78.96 Se.upf
ATOMIC_POSITIONS crystal
Pb 0.500 0.500 0.500
I 0.000 0.000 0.000
Se 0.000 0.500 0.000
Se 0.000 0.000 0.500
Se 0.500 0.000 0.000
CELL_PARAMETERS angstrom
5.414 0.000 0.000
0.000 5.414 0.000
0.000 0.000 5.414
! excess energy over the best structure of this formula in the dataset	0	meV/atom
! total moment	0.00	μB per atom
! formation energy from raw total energies	2.213	eV/f.u.

=====

(3)
! PBE MnTl3Fe, optimized geometry; values from VASP
&SYSTEM
  ibrav = 0, nat = 5, ntyp = 3
/
ATOMIC_SPECIES
Tl 204.38 Tl.upf
Mn 54.94 Mn.upf
Fe 55.84 Fe.upf
ATOMIC_POSITIONS crystal
Tl 0.000 0.500 0.000
Tl 0.000 0.000 0.500
Tl 0.500 0.000 0.000
Mn 0.500 0.500 0.500
Fe 0.000 0.000 0.000
CELL_PARAMETERS angstrom
5.124 0.000 0.000
0.000 5.124 0.000
0.000 0.000 5.124
! calculated formation energy	730	meV per atom
! excess energy over the best structure of this formula in the dataset	0	meV/atom
! total moment	1.30	μB per atom

=====

(4)
! PBE PrZn2Ga2, optimized geometry; values from VASP
&SYSTEM
  ibrav = 0, nat = 5, ntyp = 3
/
ATOMIC_SPECIES
Pr 140.91 Pr.upf
Zn 65.41 Zn.upf
Ga 69.72 Ga.upf
ATOMIC_POSITIONS crystal
Pr 0.000 0.000 0.000
Zn 0.750 0.250 0.500
Zn 0.250 0.750 0.500
Ga 0.145 0.145 0.290
Ga 0.855 0.855 0.710
CELL_PARAMETERS angstrom
-1.766 -1.393 2.677
-1.581 -2.215 -2.196
9.387 -5.157 1.228
! calculated formation energy	288	meV per atom
! total moment	0.00	μB per atom

=====

(5)
! PBE ScCd2Te, optimized geometry; values from VASP
&SYSTEM
  ibrav = 0, nat = 4, ntyp = 3
/
ATOMIC_SPECIES
Cd 112.41 Cd.upf
Sc 44.96 Sc.upf
Te 127.60 Te.upf
ATOMIC_POSITIONS crystal
Cd 0.000 0.000 0.000
Cd 0.500 0.500 0.000
Sc 0.500 0.000 0.500
Te 0.000 0.500 0.500
CELL_PARAMETERS angstrom
-0.731 -2.773 -3.118
3.627 1.143 -1.867
2.594 -3.761 2.737
! total moment	0.00	μB per atom
! formation energy from raw total energies	-1.286	eV/f.u.

=====

(6)
! PBE Sm3Ga2Ag3, optimized geometry; values from VASP
&SYSTEM
  ibrav = 0, nat = 16, ntyp = 3
/
ATOMIC_SPECIES
Sm 150.36 Sm.upf
Ga 69.72 Ga.upf
Ag 107.87 Ag.upf
ATOMIC_POSITIONS crystal
Sm 0.908 0.817 0.397
Sm 0.092 0.183 0.897
Sm 0.908 0.817 0.103
Sm 0.092 0.183 0.603
Sm 0.618 0.237 0.250
Sm 0.382 0.763 0.750
Ga 0.799 0.598 0.895
Ga 0.201 0.402 0.395
Ga 0.799 0.598 0.605
Ga 0.201 0.402 0.105
Ag 0.619 0.237 0.459
Ag 0.381 0.763 0.959
Ag 0.619 0.237 0.041
Ag 0.381 0.763 0.541
Ag 0.335 0.670 0.250
Ag 0.665 0.330 0.750
CELL_PARAMETERS angstrom
4.547 0.000 0.000
-2.273 5.392 0.000
0.000 0.000 15.334
! calculated formation energy	-395	meV per atom
! total moment	0.00	μB per atom

=====

(7)
! PBE PuNpIrRu, optimized geometry; values from VASP
&SYSTEM
  ibrav = 0, nat = 4, ntyp = 4
/
ATOMIC_SPECIES
Np 237.00 Np.upf
Ru 101.07 Ru.upf
Ir 192.22 Ir.upf
Pu 244.00 Pu.upf
ATOMIC_POSITIONS crystal
Np 0.500 0.500 0.500
Ru 0.250 0.250 0.250
Ir 0.000 0.000 0.000
Pu 0.750 0.750 0.750
CELL_PARAMETERS angstrom
-3.639 -1.227 2.475
0.114 -3.832 2.484
0.153 0.238 4.559
! calculated formation energy	-213	meV per atom
! excess energy over the best structure of this formula in the dataset	0	meV/atom
! total moment	0.47	μB per atom

=====

(8)
! PBE Ho2Er5Mg3, optimized geometry; values from VASP
&SYSTEM
  ibrav = 0, nat = 20, ntyp = 3
/
ATOMIC_SPECIES
Ho 164.93 Ho.upf
Er 167.26 Er.upf
Mg 24.30 Mg.upf
ATOMIC_POSITIONS crystal
Ho 0.139 0.558 0.165
Ho 0.639 0.165 0.558
Ho 0.861 0.442 0.835
Ho 0.361 0.835 0.442
Er 0.413 0.249 0.924
Er 0.913 0.924 0.249
Er 0.587 0.751 0.076
Er 0.087 0.076 0.751
Er 0.493 0.757 0.757
Er 0.507 0.243 0.243
Er 0.750 0.500 0.500
Er 0.250 0.500 0.500
Er 0.007 0.243 0.243
Er 0.993 0.757 0.757
Mg 0.357 0.496 0.791
Mg 0.857 0.791 0.496
Mg 0.643 0.504 0.209
Mg 0.143 0.209 0.504
Mg 0.250 0.000 0.000
Mg 0.750 0.000 0.000
CELL_PARAMETERS angstrom
-2.002 -5.561 2.502
6.506 -7.495 -3.223
3.132 -0.355 9.948
! calculated formation energy	301	meV per atom
! total moment	0.00	μB per atom